1.
BaNaCd2Ag | GGA-PBE | relaxed

Calculated values
Energy of formation from the pure elements (meV/atom): -203
E above lowest polymorph (meV per atom): 0

Cell: 4.5069 4.9356 7.5050 Å, 109.20 107.47 90.00°
Positions (direct):
Na 0.1903 0.6903 0.3806
Cd 0.7035 0.2035 0.4071
Cd 0.0499 0.0499 0.0998
Ag 0.8362 0.8362 0.6724
Ba 0.4322 0.4322 0.8644


2.
Ge3IBr12 | GGA-PBE | relaxed

Calculated values
E_form (uncorrected) (eV per atom): -0.49

Cell: 12.1701 12.1701 15.9368 Å, 67.55 67.55 60.00°
Each line ends with the local moment (μB).
Positions (direct):
Ge 0.9734 0.6668 0.0005  0.00
Ge 0.6668 0.3593 0.0005  0.00
Ge 0.3593 0.9734 0.0005  0.00
Ge 0.4734 0.8593 0.5005  0.00
Ge 0.8593 0.1668 0.5005  0.00
Ge 0.1668 0.4734 0.5005  0.00
Br 0.9755 0.6317 0.4572  0.00
Br 0.6317 0.9355 0.4572  0.00
Br 0.1350 0.0727 0.0161  0.03
Br 0.4028 0.8346 0.1429  0.02
Br 0.2761 0.5727 0.5161  0.03
Br 0.9028 0.1197 0.6429  0.02
Br 0.3346 0.9028 0.6429  0.02
Br 0.9583 0.2980 0.3874  0.00
Br 0.1317 0.4755 0.9572  0.00
Br 0.0727 0.7761 0.0161  0.03
Br 0.7761 0.1350 0.0161  0.03
Br 0.6197 0.4028 0.1429  0.02
Br 0.4583 0.8562 0.8874  0.00
Br 0.5727 0.6350 0.5161  0.03
Br 0.7980 0.4583 0.8874  0.00
Br 0.2980 0.3562 0.3874  0.00
Br 0.8346 0.6197 0.1429  0.02
Br 0.8562 0.7980 0.8874  0.00
Br 0.6350 0.2761 0.5161  0.03
Br 0.9355 0.9755 0.4572  0.00
Br 0.4355 0.1317 0.9572  0.00
Br 0.1197 0.3346 0.6429  0.02
Br 0.3562 0.9583 0.3874  0.00
Br 0.4755 0.4355 0.9572  0.00
I 0.0667 0.0667 0.8000  0.51
I 0.5667 0.5667 0.3000  0.51


Across the entries above, calculated volume takes the values 29.896, 57.336 Å³ per atom, respectively.